Record 1
Ba2S6I: relaxed, GGA-PBE.

a b c (Å): 6.1682 10.2225 15.1480
angles (deg): 108.83 137.35 109.65
Last column: nearest neighbours and their distance in Å.
Element x y z (fractional)
1 Ba 0.0446 0.9740 0.6605  8 S 3.17-3.40
2 Ba 0.9554 0.0260 0.3395  8 S 3.17-3.40
3 S 0.0658 0.3160 0.2874  1 S 2.09
4 S 0.1077 0.8095 0.4641  1 S 2.06
5 S 0.5277 0.5419 0.1194  1 S 2.06
6 S 0.4723 0.4581 0.8806  1 S 2.06
7 S 0.9342 0.6840 0.7126  1 S 2.09
8 S 0.8923 0.1905 0.5359  1 S 2.06
9 I 0.0000 0.0000 0.0000  2 S 2.67

Values from the calculation:
Its space group is P-1, No. 2. The electronic total energy is -37.80 eV per cell. The uncorrected formation energy is -0.85 eV per atom. As for the crystal system: triclinic.


Record 2
Ca2TaIrOs: relaxed, GGA-PBE.

a b c (Å): 5.4206 4.6213 5.4206
angles (deg): 90.00 90.00 90.00
Last column: nearest neighbours and their distance in Å.
Element x y z (fractional)
1 Ir 0.0000 0.5000 0.0000  2 Ta 2.31
2 Ca 0.5000 0.0000 0.0000  2 Ta 2.71
3 Ca 0.0000 0.0000 0.5000  2 Ta 2.71
4 Os 0.5000 0.5000 0.5000  8 Ca 3.56, 4 Ir 3.83
5 Ta 0.0000 0.0000 0.0000  2 Ir 2.31

Values from the calculation:
The formation energy is 1.902 eV per atom. Its space group is P4/mmm, No. 123. The electronic total energy is -26.44 eV per cell. As for the crystal system: tetragonal.


- Which formula does entry 2 have?
  Ca2TaIrOs


- The highest electronic total energy belongs to which entry?
  Ca2TaIrOs